This record from the Alexandria database describes an optimized crystal structure of NaTl4InPb2. The functional is GGA-PBE.

Structure (extended XYZ):
```
8
Lattice="-3.382 2.691 3.639 -4.420 -2.135 -2.530 -4.233 -8.214 2.139" Properties=species:S:1:pos:R:3 pbc="T T T"
Na -4.327 -5.175 -0.195
Tl -6.491 -7.773 -0.286
Tl -5.544 0.114 3.534
Tl -6.063 -2.279 0.436
Tl -5.973 -5.380 2.812
In -3.901 0.278 0.554
Pb -4.233 -8.214 2.139
Pb -3.808 -2.762 2.889
```

Calculated values
Spin magnetization in μB per cell: 0.00
Mass density in g/cm³: 9.5
Energy of formation from the pure elements in eV per formula unit: -0.304